No. 1
Material: NaPm3Cl8
Method: DFT, PBE
State: optimized geometry

* ΔE_f (raw): -2.0151 eV/atom
* SG: No. 166
* final energy: -4.5438 eV/atom

Geometry as CIF:
```
data_NaPm3Cl8
_chemical_formula_sum 'Na1 Pm3 Cl8'
_cell_length_a 7.803
_cell_length_b 7.803
_cell_length_c 8.375
_cell_angle_alpha 62.24
_cell_angle_beta 62.24
_cell_angle_gamma 60.00
_symmetry_space_group_name_H-M 'P 1'
_symmetry_Int_Tables_number 1
_symmetry_space_group_name_Hall 'P 1'
loop_
_atom_site_label
_atom_site_fract_x
_atom_site_fract_y
_atom_site_fract_z
Na1 0.500 0.500 0.500
Pm1 0.000 0.500 0.000
Pm2 0.500 0.000 0.000
Pm3 0.500 0.500 0.000
Cl1 0.748 0.748 0.755
Cl2 0.252 0.252 0.245
Cl3 0.751 0.751 0.236
Cl4 0.751 0.263 0.236
Cl5 0.263 0.751 0.236
Cl6 0.737 0.249 0.764
Cl7 0.249 0.737 0.764
Cl8 0.249 0.249 0.764
```



No. 2
Material: ScBi3O
Method: DFT, PBE
State: optimized geometry

* E above lowest polymorph: 0 meV/atom
* ΔE_f (raw): -0.3892 eV/atom
* SG: No. 221
* final energy: -4.9757 eV/atom

Geometry as CIF:
```
data_ScBi3O
_chemical_formula_sum 'Sc1 Bi3 O1'
_cell_length_a 4.938
_cell_length_b 4.938
_cell_length_c 4.938
_cell_angle_alpha 90.00
_cell_angle_beta 90.00
_cell_angle_gamma 90.00
_symmetry_space_group_name_H-M 'P 1'
_symmetry_Int_Tables_number 1
_symmetry_space_group_name_Hall 'P 1'
loop_
_atom_site_label
_atom_site_fract_x
_atom_site_fract_y
_atom_site_fract_z
Sc1 0.500 0.500 0.500
Bi1 0.000 0.500 0.000
Bi2 0.000 0.000 0.500
Bi3 0.500 0.000 0.000
O1 0.000 0.000 0.000
```



No. 3
Material: LiMg4Be
Method: DFT, PBE
State: optimized geometry

* SG: No. 216
* final energy: -1.5963 eV/atom
* energy relative to the elements: 407 meV per atom

Geometry as CIF:
```
data_LiMg4Be
_chemical_formula_sum 'Li1 Mg4 Be1'
_cell_length_a 5.672
_cell_length_b 5.672
_cell_length_c 5.672
_cell_angle_alpha 60.00
_cell_angle_beta 60.00
_cell_angle_gamma 60.00
_symmetry_space_group_name_H-M 'P 1'
_symmetry_Int_Tables_number 1
_symmetry_space_group_name_Hall 'P 1'
loop_
_atom_site_label
_atom_site_fract_x
_atom_site_fract_y
_atom_site_fract_z
Li1 0.000 0.000 0.000
Mg1 0.873 0.376 0.376
Mg2 0.376 0.376 0.873
Mg3 0.376 0.873 0.376
Mg4 0.376 0.376 0.376
Be1 0.750 0.750 0.750
```



Please write out number 1 again, unchanged.
Material: NaPm3Cl8
Method: DFT, PBE
State: optimized geometry

* ΔE_f (raw): -2.0151 eV/atom
* SG: No. 166
* final energy: -4.5438 eV/atom

Geometry as CIF:
```
data_NaPm3Cl8
_chemical_formula_sum 'Na1 Pm3 Cl8'
_cell_length_a 7.803
_cell_length_b 7.803
_cell_length_c 8.375
_cell_angle_alpha 62.24
_cell_angle_beta 62.24
_cell_angle_gamma 60.00
_symmetry_space_group_name_H-M 'P 1'
_symmetry_Int_Tables_number 1
_symmetry_space_group_name_Hall 'P 1'
loop_
_atom_site_label
_atom_site_fract_x
_atom_site_fract_y
_atom_site_fract_z
Na1 0.500 0.500 0.500
Pm1 0.000 0.500 0.000
Pm2 0.500 0.000 0.000
Pm3 0.500 0.500 0.000
Cl1 0.748 0.748 0.755
Cl2 0.252 0.252 0.245
Cl3 0.751 0.751 0.236
Cl4 0.751 0.263 0.236
Cl5 0.263 0.751 0.236
Cl6 0.737 0.249 0.764
Cl7 0.249 0.737 0.764
Cl8 0.249 0.249 0.764
```